# TbNd7Ho12

A relaxed TbNd7Ho12 crystal (PBE, the Alexandria database).

Results
* offset from the most stable computed form: 0 meV per atom
* total magnetization: 0.00 μB per cell

Lattice parameters (Å, degrees): 8.7844 8.7844 8.7844 85.96 85.96 85.96
Fractional positions:
1 Tb 0.0000 0.0000 0.0000
2 Nd 0.0789 0.3985 0.1555
3 Nd 0.1555 0.0789 0.3985
4 Nd 0.3985 0.1555 0.0789
5 Nd 0.5000 0.5000 0.5000
6 Nd 0.6015 0.8445 0.9211
7 Nd 0.8445 0.9211 0.6015
8 Nd 0.9211 0.6015 0.8445
9 Ho 0.1347 0.6170 0.4968
10 Ho 0.1456 0.2731 0.7470
11 Ho 0.2530 0.8544 0.7269
12 Ho 0.2731 0.7470 0.1456
13 Ho 0.3830 0.5032 0.8653
14 Ho 0.4968 0.1347 0.6170
15 Ho 0.5032 0.8653 0.3830
16 Ho 0.6170 0.4968 0.1347
17 Ho 0.7269 0.2530 0.8544
18 Ho 0.7470 0.1456 0.2731
19 Ho 0.8544 0.7269 0.2530
20 Ho 0.8653 0.3830 0.5032